## SrLi2Dy (GGA-PBE)

Data for SrLi2Dy after structural relaxation.

The crystal system is cubic. The polymorph energy (0 for the lowest one) comes out at 0.046 eV/atom. As for the density of states at the Fermi level: 18.81 states/eV/cell.

The space group is Fm-3m (No. 225) and the conventional cell measures 7.8878, 7.8878 and 7.8878 Å, with angles of 90.00, 90.00 and 90.00 degrees. The inequivalent atoms are Sr at (0.0000, 0.0000, 0.0000), Li at (0.2500, 0.2500, 0.2500) and Dy at (0.0000, 0.0000, 0.5000).

## TmScGe (GGA-PBE)

Data for TmScGe after structural relaxation.

The crystal system is hexagonal. The calculation puts the total energy at -5.84 eV per atom. As for the density of states at the Fermi level: 10.89 states/eV/cell.

The space group is P-62m (No. 189) and the conventional cell measures 7.5505, 7.5505 and 4.0933 Å, with angles of 90.00, 90.00 and 120.00 degrees. The inequivalent atoms are Tm at (0.0000, 0.5986, 0.0000), Sc at (0.0000, 0.2593, 0.5000), Ge at (0.0000, 0.0000, 0.0000) and Ge at (0.3333, 0.6667, 0.5000).

## KCa2Te (GGA-PBE)

Data for KCa2Te after structural relaxation.

The crystal system is tetragonal. The calculation puts the total energy at -2.44 eV per atom. As for the density of states at the Fermi level: 5.23 states/eV/cell.

The space group is I4/mmm (No. 139) and the conventional cell measures 5.0554, 5.0554 and 11.6508 Å, with angles of 90.00, 90.00 and 90.00 degrees. The inequivalent atoms are K at (0.0000, 0.0000, 0.0000), Ca at (0.0000, 0.5000, 0.2500) and Te at (0.0000, 0.0000, 0.5000).

## LaB2Ir2C (GGA-PBE)

Data for LaB2Ir2C after structural relaxation.

The crystal system is tetragonal. The calculation puts the total energy at -8.10 eV per atom. As for the density of states at the Fermi level: 7.94 states/eV/cell.

The space group is I4/mmm (No. 139) and the conventional cell measures 3.8969, 3.8969 and 10.4963 Å, with angles of 90.00, 90.00 and 90.00 degrees. The inequivalent atoms are La at (0.0000, 0.0000, 0.0000), B at (0.0000, 0.0000, 0.3553), Ir at (0.0000, 0.5000, 0.2500) and C at (0.0000, 0.0000, 0.5000).